[1]
Material: ZrTlCuNi
Method: DFT, PBE
State: optimized geometry

Structure (extended XYZ):
```
4
Lattice="0.000 3.215 3.215 3.215 0.000 3.215 3.215 3.215 0.000" Properties=species:S:1:pos:R:3 pbc="T T T"
Zr 0.000 0.000 0.000
Tl 3.215 3.215 3.215
Cu 4.823 4.823 4.823
Ni 1.608 1.608 1.608
```

N(E_F) in states/eV/cell: 2.0
Volume in Å³/cell: 66
ΔE_f in eV per formula unit: -0.50

=====

[2]
Material: GeB2H
Method: DFT, PBE
State: optimized geometry

Structure (extended XYZ):
```
8
Lattice="-1.705 1.705 5.853 1.705 -1.705 5.853 1.705 1.705 -5.853" Properties=species:S:1:pos:R:3 pbc="T T T"
Ge 0.000 0.000 0.000
Ge 0.000 1.705 2.926
B 0.853 1.381 -1.463
B 2.029 0.853 1.463
B 0.853 0.324 4.390
B -0.324 0.853 7.316
H 1.705 0.000 2.926
H 0.000 0.000 5.853
```

N(E_F) in states/eV/cell: 2.7
Volume in Å³/cell: 68
Polymorph energy (0 for the lowest one) in kJ/mol of formula units: 0

=====

[3]
Material: KW2
Method: DFT, PBE
State: optimized geometry

Structure (extended XYZ):
```
6
Lattice="4.637 -1.359 0.000 4.637 1.359 0.000 -4.636 0.000 12.663" Properties=species:S:1:pos:R:3 pbc="T T T"
K -1.162 0.000 4.296
K 5.799 0.000 8.367
W 1.098 0.000 1.793
W 3.455 0.000 0.737
W 1.182 0.000 11.926
W 3.539 0.000 10.870
```

N(E_F) in states/eV/cell: 6.0
Volume in Å³/cell: 160
Polymorph energy (0 for the lowest one) in kJ/mol of formula units: 0
ΔE_f in eV per formula unit: 2.97

=====

[4]
Material: CuPO4
Method: DFT, PBE
State: optimized geometry

Structure (extended XYZ):
```
36
Lattice="7.166 4.138 3.035 -7.166 4.138 3.035 0.000 -8.275 3.035" Properties=species:S:1:pos:R:3 pbc="T T T"
Cu -5.512 1.719 3.035
Cu 1.267 -5.633 3.035
Cu -1.463 -2.552 4.580
Cu -1.478 2.543 4.580
Cu 2.941 0.009 4.580
Cu 4.245 3.914 3.035
P -4.279 -3.944 4.655
P -2.844 -0.038 3.121
P 1.455 -2.444 3.121
P 1.389 2.482 3.121
P -1.276 5.678 4.655
P 5.555 -1.734 4.655
O -4.376 0.221 3.087
O -4.944 -3.085 5.745
O -2.738 -3.917 4.865
O -2.589 -1.038 4.266
O -5.356 2.394 4.817
O -0.070 -2.431 3.315
O -2.071 1.276 3.315
O 1.997 -3.900 3.087
O 0.605 -5.835 4.817
O -0.607 -2.511 6.294
O 2.193 -1.724 4.266
O 2.141 1.155 3.315
O -2.024 4.329 4.865
O 0.396 2.761 4.266
O -1.871 1.781 6.294
O -2.339 -1.485 7.799
O 2.379 3.679 3.087
O 4.761 -0.412 4.865
O -0.200 5.824 5.745
O 5.143 -2.739 5.745
O 2.478 0.730 6.294
O -0.117 2.768 7.799
O 2.456 -1.283 7.799
O 4.751 3.441 4.817
```

E_form (uncorrected) in eV/atom: -1.321
N(E_F) in states/eV/cell: 21.5
Volume in Å³/cell: 540

=====

[5]
Material: Rb2SiWS
Method: DFT, PBE
State: optimized geometry

Structure (extended XYZ):
```
5
Lattice="6.393 0.000 0.000 0.000 6.393 0.000 0.000 0.000 4.544" Properties=species:S:1:pos:R:3 pbc="T T T"
Rb 0.000 3.196 0.000
Rb 3.196 0.000 0.000
Si 0.000 0.000 2.272
W 3.196 3.196 2.272
S 3.196 3.196 0.000
```

E_form (uncorrected) in eV/atom: 0.826
N(E_F) in states/eV/cell: 3.2
Volume in Å³/cell: 186

=====

[6]
Material: ErTmSb
Method: DFT, PBE
State: optimized geometry

Structure (extended XYZ):
```
6
Lattice="2.538 1.465 7.887 -2.538 1.465 7.887 0.000 -2.930 7.887" Properties=species:S:1:pos:R:3 pbc="T T T"
Er 0.000 0.000 5.058
Er 0.000 0.000 18.604
Tm 0.000 0.000 8.709
Tm 0.000 0.000 14.952
Sb 0.000 0.000 1.960
Sb 0.000 0.000 21.702
```

E_form (uncorrected) in eV/atom: -0.479
N(E_F) in states/eV/cell: 4.1
Volume in Å³/cell: 176

=====

[7]
Material: Ti2Ag2Pb
Method: DFT, PBE
State: optimized geometry

Structure (extended XYZ):
```
10
Lattice="7.825 0.000 0.000 0.000 7.825 0.000 0.000 0.000 3.175" Properties=species:S:1:pos:R:3 pbc="T T T"
Ti 1.321 2.591 0.000
Ti 2.591 6.504 0.000
Ti 5.234 1.321 0.000
Ti 6.504 5.234 0.000
Ag 0.982 4.894 1.588
Ag 2.931 0.982 1.588
Ag 4.894 6.843 1.588
Ag 6.843 2.931 1.588
Pb 0.000 0.000 1.588
Pb 3.912 3.912 1.588
```

N(E_F) in states/eV/cell: 7.0
Volume in Å³/cell: 194
Polymorph energy (0 for the lowest one) in kJ/mol of formula units: 0
ΔE_f in eV per formula unit: 1.06

=====

[8]
Material: CePaCr
Method: DFT, PBE
State: optimized geometry

Structure (extended XYZ):
```
6
Lattice="3.530 0.000 0.000 1.505 5.468 0.000 0.873 0.646 6.630" Properties=species:S:1:pos:R:3 pbc="T T T"
Ce 1.272 1.670 2.730
Ce 4.637 4.444 3.900
Pa 2.659 2.309 5.890
Pa 3.250 3.805 0.740
Cr 2.417 5.535 5.482
Cr 3.492 0.579 1.148
```

N(E_F) in states/eV/cell: 9.3
Volume in Å³/cell: 128
Polymorph energy (0 for the lowest one) in kJ/mol of formula units: 13
ΔE_f in eV per formula unit: 0.65

=====

[9]
Material: La3TbPmSm
Method: DFT, PBE
State: optimized geometry

Structure (extended XYZ):
```
12
Lattice="10.507 -2.957 0.000 10.507 2.957 0.000 -0.102 0.000 6.850" Properties=species:S:1:pos:R:3 pbc="T T T"
La 0.317 0.000 1.756
La 5.866 0.000 1.534
La 7.083 0.000 5.037
La 13.828 0.000 1.813
La 15.045 0.000 5.316
La 20.594 0.000 5.094
Tb 2.860 0.000 6.751
Tb 18.051 0.000 0.099
Pm 3.061 0.000 3.627
Pm 17.850 0.000 3.223
Sm 9.235 0.000 1.635
Sm 11.676 0.000 5.215
```

N(E_F) in states/eV/cell: 16.6
Volume in Å³/cell: 426
ΔE_f in eV per formula unit: 0.91

=====

[10]
Material: NdSmNpO6
Method: DFT, PBE
State: optimized geometry

Structure (extended XYZ):
```
18
Lattice="5.880 0.000 0.000 -2.940 5.092 0.000 0.000 0.000 9.650" Properties=species:S:1:pos:R:3 pbc="T T T"
Nd 0.000 0.000 0.000
Nd 0.000 0.000 4.825
Sm 0.000 3.395 2.413
Sm 2.940 1.697 7.238
Np 0.000 3.395 7.238
Np 2.940 1.697 2.413
O -0.880 1.863 6.133
O -1.766 3.398 8.342
O 0.880 1.863 8.342
O -0.886 4.923 6.133
O 2.054 0.170 1.308
O 1.174 1.694 3.517
O 1.766 3.398 6.133
O 0.886 4.923 8.342
O 3.826 0.170 3.517
O 2.060 3.229 1.308
O 4.706 1.694 1.308
O 3.820 3.229 3.517
```

E_form (uncorrected) in eV/atom: -3.138
Volume in Å³/cell: 289

=====

[11]
Material: LaCeTl
Method: DFT, PBE
State: optimized geometry

Structure (extended XYZ):
```
3
Lattice="5.437 0.000 0.000 -2.718 4.708 0.000 0.000 0.000 3.289" Properties=species:S:1:pos:R:3 pbc="T T T"
La 0.000 0.000 0.000
Ce 2.718 1.569 0.000
Tl 0.000 3.139 1.644
```

N(E_F) in states/eV/cell: 6.6
Volume in Å³/cell: 84
Polymorph energy (0 for the lowest one) in kJ/mol of formula units: 21
ΔE_f in eV per formula unit: -0.25

=====

[12]
Material: BaAc4Te6
Method: DFT, PBE
State: optimized geometry

Structure (extended XYZ):
```
22
Lattice="2.372 -7.822 0.000 2.372 7.822 0.000 0.000 0.000 24.160" Properties=species:S:1:pos:R:3 pbc="T T T"
Ba 2.372 5.325 18.120
Ba 2.372 -5.325 6.040
Ac 2.372 6.393 3.115
Ac 2.372 6.393 8.965
Ac 2.372 2.180 0.955
Ac 2.372 2.180 11.125
Ac 2.372 -2.180 13.035
Ac 2.372 -2.180 23.205
Ac 2.372 -6.393 15.195
Ac 2.372 -6.393 21.046
Te 0.000 0.000 0.000
Te 0.000 0.000 12.080
Te 2.372 5.003 6.040
Te 2.372 3.616 14.240
Te 2.372 3.616 22.001
Te 2.372 0.734 3.952
Te 2.372 0.734 8.129
Te 2.372 -0.734 16.032
Te 2.372 -0.734 20.209
Te 2.372 -3.616 2.160
Te 2.372 -3.616 9.920
Te 2.372 -5.003 18.120
```

E_form (uncorrected) in eV/atom: -1.575
N(E_F) in states/eV/cell: 8.3
Volume in Å³/cell: 896

=====

Which spin magnetization belongs to each record? In order, 0.00; 0.00; 0.00; 2.01; 1.38; 0.00; 0.00; 0.00; 0.00; 1.00; 0.87; 0.00 μB per formula unit.